[1]
BaLaCo4 after structural relaxation, computed with GGA-PBE.

```
BaLaCo4
1.0
0.000 3.738 3.738
3.738 0.000 3.738
3.738 3.738 0.000
Ba La Co
1 1 4
direct
0.000 0.000 0.000
0.250 0.250 0.250
0.131 0.623 0.623
0.623 0.131 0.623
0.623 0.623 0.131
0.623 0.623 0.623
```

=====

[2]
Ba2LaCo after structural relaxation, computed with GGA-PBE.

```
Ba2LaCo
1.0
3.813 0.000 0.000
0.000 3.813 0.000
0.000 0.000 10.197
Ba La Co
2 1 1
direct
0.000 0.000 0.182
0.000 0.000 0.818
0.500 0.500 0.500
0.500 0.500 0.000
```

Energy above the most stable polymorph in this dataset: 32.6 kJ/mol of atoms

=====

[3]
BaLaCo2 after structural relaxation, computed with GGA-PBE.

```
BaLaCo2
1.0
0.000 3.546 3.546
3.546 0.000 3.546
3.546 3.546 0.000
Ba La Co
1 1 2
direct
0.000 0.000 0.000
0.750 0.750 0.750
0.250 0.250 0.250
0.500 0.500 0.500
```

Energy above the most stable polymorph in this dataset: 60.0 kJ/mol of atoms

=====

| no. | energy of formation (kcal/mol of atoms) |
| --- | --- |
| 1 | 6.80 |
| 2 | 10.46 |
| 3 | 15.72 |